Record 1
Below is a relaxed structure of Th4Bi2PIr, with properties calculated at the GGA-PBE level.

Cell and atoms, written as CIF:
```
data_Th4Bi2PIr
_chemical_formula_sum 'Th4 Bi2 P1 Ir1'
_symmetry_space_group_name_H-M 'P 1 2/m 1'
_symmetry_Int_Tables_number 10
_cell_length_a 7.574
_cell_length_b 4.247
_cell_length_c 7.845
_cell_angle_alpha 90.00
_cell_angle_beta 108.74
_cell_angle_gamma 90.00
loop_
_symmetry_equiv_pos_as_xyz
'x,y,z'
'-x,-y,-z'
'-x,y,-z'
'x,-y,z'
loop_
_atom_site_label
_atom_site_type_symbol
_atom_site_fract_x
_atom_site_fract_y
_atom_site_fract_z
Th1 Th 0.224 0.000 0.205
Th2 Th 0.262 0.500 0.786
Bi1 Bi 0.000 0.000 0.500
Bi2 Bi 0.500 0.500 0.500
P1 P 0.500 0.000 0.000
Ir1 Ir 0.000 0.500 0.000
```

Calculated values
The calculation puts the energy at -0.54231 Ry/atom. Its density of states at the Fermi level is 6.02 states/eV per cell.

***

Record 2
Below is a relaxed structure of LaFe3Cu, with properties calculated at the GGA-PBE level.

Cell and atoms, written as CIF:
```
data_LaFe3Cu
_chemical_formula_sum 'La1 Fe3 Cu1'
_symmetry_space_group_name_H-M 'P m -3 m'
_symmetry_Int_Tables_number 221
_symmetry_space_group_name_Hall '-P 4 2 3'
_cell_length_a 4.583
_cell_length_b 4.583
_cell_length_c 4.583
_cell_angle_alpha 90.00
_cell_angle_beta 90.00
_cell_angle_gamma 90.00
loop_
_atom_site_label
_atom_site_type_symbol
_atom_site_fract_x
_atom_site_fract_y
_atom_site_fract_z
La1 La 0.000 0.000 0.000
Fe1 Fe 0.000 0.000 0.500
Cu1 Cu 0.500 0.500 0.500
```

Calculated values
The calculation puts the energy at -0.37357 Ry/atom. Its energy above the lowest structure with this stoichiometry is 1.106 eV/atom. Its density of states at the Fermi level is 5.34 states/eV per cell.

***

Record 3
Below is a relaxed structure of Dy2SnN, with properties calculated at the GGA-PBE level.

Cell and atoms, written as CIF:
```
data_Dy2SnN
_chemical_formula_sum 'Dy6 Sn3 N3'
_symmetry_space_group_name_H-M 'R -3 m'
_symmetry_Int_Tables_number 166
_symmetry_space_group_name_Hall '-R 3 2"'
_cell_length_a 3.5372
_cell_length_b 3.5372
_cell_length_c 23.1554
_cell_angle_alpha 90.00
_cell_angle_beta 90.00
_cell_angle_gamma 120.00
loop_
_atom_site_label
_atom_site_type_symbol
_atom_site_fract_x
_atom_site_fract_y
_atom_site_fract_z
Dy1 Dy 0.0000 0.0000 0.2236
Sn1 Sn 0.0000 0.0000 0.0000
N1 N 0.0000 0.0000 0.5000
```

Calculated values
Its uncorrected formation energy is -1170 meV/atom. The calculation puts the energy at -0.48166 Ry/atom. Its density of states at the Fermi level is 2.87 states/eV per cell.

***

Record 4
Below is a relaxed structure of NbP2SeCl, with properties calculated at the GGA-PBE level.

Cell and atoms, written as CIF:
```
data_NbP2SeCl
_chemical_formula_sum 'Nb1 P2 Se1 Cl1'
_symmetry_space_group_name_H-M 'P 4/m m m'
_symmetry_Int_Tables_number 123
_symmetry_space_group_name_Hall '-P 4 2'
_cell_length_a 4.793
_cell_length_b 4.793
_cell_length_c 4.611
_cell_angle_alpha 90.00
_cell_angle_beta 90.00
_cell_angle_gamma 90.00
loop_
_atom_site_label
_atom_site_type_symbol
_atom_site_fract_x
_atom_site_fract_y
_atom_site_fract_z
Nb1 Nb 0.000 0.000 0.000
P1 P 0.000 0.500 0.500
Se1 Se 0.500 0.500 0.500
Cl1 Cl 0.500 0.500 0.000
```

Calculated values
Its uncorrected formation energy is 1087 meV/atom. The calculation puts the energy at -0.30551 Ry/atom. Its energy above the lowest structure with this stoichiometry is 0.786 eV/atom. Its density of states at the Fermi level is 4.79 states/eV per cell.

***

Record 5
Below is a relaxed structure of HfZrSb, with properties calculated at the GGA-PBE level.

Cell and atoms, written as CIF:
```
data_HfZrSb
_chemical_formula_sum 'Hf2 Zr2 Sb2'
_symmetry_space_group_name_H-M 'I 4 m m'
_symmetry_Int_Tables_number 107
_symmetry_space_group_name_Hall 'I 4 -2'
_cell_length_a 3.730
_cell_length_b 3.730
_cell_length_c 9.584
_cell_angle_alpha 90.00
_cell_angle_beta 90.00
_cell_angle_gamma 90.00
loop_
_atom_site_label
_atom_site_type_symbol
_atom_site_fract_x
_atom_site_fract_y
_atom_site_fract_z
Hf1 Hf 0.000 0.000 0.000
Zr1 Zr 0.000 0.000 0.675
Sb1 Sb 0.000 0.000 0.338
```

Calculated values
Its uncorrected formation energy is -464 meV/atom. The calculation puts the energy at -0.58839 Ry/atom. Its density of states at the Fermi level is 5.18 states/eV per cell.

***

Record 6
Below is a relaxed structure of Sc6GeAs3S2, with properties calculated at the GGA-PBE level.

Cell and atoms, written as CIF:
```
data_Sc6GeAs3S2
_chemical_formula_sum 'Sc12 Ge2 As6 S4'
_symmetry_space_group_name_H-M 'C 1 2/m 1'
_symmetry_Int_Tables_number 12
_cell_length_a 16.639
_cell_length_b 3.824
_cell_length_c 7.675
_cell_angle_alpha 90.00
_cell_angle_beta 103.12
_cell_angle_gamma 90.00
loop_
_symmetry_equiv_pos_as_xyz
'x,y,z'
'-x,-y,-z'
'-x,y,-z'
'x,-y,z'
'x+1/2,y+1/2,z'
'-x+1/2,-y+1/2,-z'
'-x+1/2,y+1/2,-z'
'x+1/2,-y+1/2,z'
loop_
_atom_site_label
_atom_site_type_symbol
_atom_site_fract_x
_atom_site_fract_y
_atom_site_fract_z
Sc1 Sc 0.002 0.000 0.250
Sc2 Sc 0.166 0.500 0.085
Sc3 Sc 0.167 0.500 0.584
Ge1 Ge 0.000 0.500 0.000
As1 As 0.000 0.500 0.500
As2 As 0.167 0.000 0.832
S1 S 0.169 0.000 0.338
```

Calculated values
Its uncorrected formation energy is -1461 meV/atom. The calculation puts the energy at -0.50432 Ry/atom. Its density of states at the Fermi level is 4.98 states/eV per cell.

***

Number 4 is which compound?
NbP2SeCl

***

The lowest energy belongs to which entry?
HfZrSb

***

Which formula does entry 3 have?
Dy2SnN

***

Among the records above, which one has the highest energy?
NbP2SeCl